Entry 1:
A relaxed structure of PaNi3Sb3, computed with PBE-GGA.

N(E_F) ... 5.6 states/eV/f.u.
Crystal system ... trigonal
Size of the total moment ... 0.0 Bohr magnetons per cell
VASP energy ... -5.845 eV/atom
V ... 21.138 A^3/atom

Cell and atoms, written as extended XYZ:
```
14
Lattice="7.645 0.000 0.000 3.822 6.621 0.000 3.822 2.207 5.847" Properties=species:S:1:pos:R:3 pbc="T T T"
Sb 10.286 4.647 1.676
Ni 9.063 2.365 1.455
Pa 3.822 2.207 0.040
Ni 5.161 4.210 1.455
Sb 9.168 2.243 4.171
Ni 10.128 4.618 4.392
Sb 6.527 2.010 1.676
Ni 8.710 6.666 1.455
Sb 6.122 6.584 1.676
Sb 8.763 6.818 4.171
Pa 11.467 6.620 5.807
Ni 6.580 2.161 4.392
Sb 5.004 4.180 4.171
Ni 6.226 6.462 4.392
```



Entry 2:
A relaxed structure of PaNiSb, computed with PBE-GGA.

N(E_F) ... 0.5 states/eV/f.u.
Crystal system ... trigonal
Size of the total moment ... 0.0 Bohr magnetons per cell
VASP energy ... -7.032 eV/atom
V ... 21.546 A^3/atom

Cell and atoms, written as extended XYZ:
```
3
Lattice="-1.431 -2.307 -3.238 -1.568 -2.815 2.698 -2.360 3.239 -1.265" Properties=species:S:1:pos:R:3 pbc="T T T"
Pa -2.702 -2.201 -0.593
Ni -2.522 0.535 -0.907
Sb -0.135 -0.217 -0.305
```



Entry 3:
A relaxed structure of PaNi2Sb, computed with PBE-GGA.

N(E_F) ... 1.0 states/eV/f.u.
Crystal system ... orthorhombic
Size of the total moment ... 0.0 Bohr magnetons per cell
VASP energy ... -6.751 eV/atom
V ... 18.374 A^3/atom

Cell and atoms, written as extended XYZ:
```
4
Lattice="4.401 0.000 0.000 0.000 4.190 -2.399 0.000 -0.376 4.201" Properties=species:S:1:pos:R:3 pbc="T T T"
Ni 2.200 0.860 1.502
Pa 2.200 3.214 0.755
Ni 0.000 0.263 0.459
Sb 0.000 1.550 2.708
```



Entry 4:
A relaxed structure of Pa2Ni9Sb, computed with PBE-GGA.

N(E_F) ... 9.4 states/eV/f.u.
Crystal system ... tetragonal
Size of the total moment ... 0.0 Bohr magnetons per cell
VASP energy ... -6.542 eV/atom
V ... 14.083 A^3/atom

Cell and atoms, written as extended XYZ:
```
12
Lattice="3.868 0.000 0.000 0.000 3.868 0.000 0.000 0.000 11.297" Properties=species:S:1:pos:R:3 pbc="T T T"
Ni 0.000 1.934 5.648
Ni 1.934 0.000 9.408
Pa 0.000 0.000 3.653
Sb 0.000 0.000 0.000
Ni 0.000 1.934 9.408
Ni 1.934 1.934 3.789
Ni 1.934 1.934 0.000
Ni 1.934 0.000 1.889
Ni 1.934 0.000 5.648
Ni 1.934 1.934 7.508
Ni 0.000 1.934 1.889
Pa 0.000 0.000 7.644
```



Entry 5:
A relaxed structure of PaNi5Sb, computed with PBE-GGA.

N(E_F) ... 7.2 states/eV/f.u.
Crystal system ... orthorhombic
Size of the total moment ... 0.0 Bohr magnetons per cell
VASP energy ... -6.456 eV/atom
V ... 14.392 A^3/atom

Cell and atoms, written as extended XYZ:
```
28
Lattice="4.933 0.000 0.000 0.000 8.028 0.000 0.000 0.000 10.175" Properties=species:S:1:pos:R:3 pbc="T T T"
Ni 1.233 3.364 4.088
Ni 3.700 6.678 7.691
Ni 1.233 1.351 2.485
Ni 2.462 0.625 6.995
Ni 4.929 7.403 3.180
Sb 1.233 2.923 6.567
Ni 4.929 3.389 1.907
Sb 1.233 6.937 8.697
Ni 1.233 0.703 4.872
Ni 0.004 4.639 8.268
Pa 3.700 5.941 0.543
Sb 3.700 1.091 1.479
Ni 3.700 4.664 6.087
Ni 2.471 7.404 3.180
Ni 3.700 7.325 5.303
Ni 3.700 2.664 7.573
Ni 3.700 3.311 9.960
Ni 2.462 4.639 8.268
Ni 1.233 5.365 2.603
Ni 3.700 0.650 9.176
Ni 1.233 4.717 0.216
Ni 0.004 0.625 6.995
Pa 3.700 1.927 4.545
Ni 1.233 7.378 0.999
Ni 2.471 3.389 1.907
Pa 1.233 2.087 9.633
Sb 3.700 5.106 3.609
Pa 1.233 6.101 5.631
```



Entry 6:
A relaxed structure of PaNi2Sb, computed with PBE-GGA.

N(E_F) ... 4.5 states/eV/f.u.
Crystal system ... monoclinic
Size of the total moment ... 0.0 Bohr magnetons per cell
VASP energy ... -6.722 eV/atom
V ... 17.926 A^3/atom

Cell and atoms, written as extended XYZ:
```
4
Lattice="-3.998 -1.011 0.742 -1.189 -4.017 -0.101 -0.770 -2.067 4.807" Properties=species:S:1:pos:R:3 pbc="T T T"
Sb -0.979 -3.042 2.353
Ni -2.543 -4.791 3.380
Pa -1.999 -0.505 0.371
Ni -3.414 -2.303 2.068
```



Entry 7:
A relaxed structure of Pa2NiSb, computed with PBE-GGA.

N(E_F) ... 5.1 states/eV/f.u.
Crystal system ... monoclinic
Size of the total moment ... 0.0 Bohr magnetons per cell
VASP energy ... -7.592 eV/atom
V ... 22.969 A^3/atom

Cell and atoms, written as extended XYZ:
```
8
Lattice="-2.039 0.833 3.121 4.647 -1.988 3.566 0.275 8.341 -2.048" Properties=species:S:1:pos:R:3 pbc="T T T"
Pa 3.376 3.184 2.524
Pa -0.183 7.521 1.379
Ni 1.471 1.812 3.983
Pa 3.065 -0.335 3.260
Sb 0.949 1.235 1.459
Sb 1.934 5.952 3.181
Pa -0.494 4.003 2.115
Ni 1.412 5.374 0.656
```



Entry 8:
A relaxed structure of PaNi3Sb, computed with PBE-GGA.

N(E_F) ... 6.4 states/eV/f.u.
Crystal system ... orthorhombic
Size of the total moment ... 0.0 Bohr magnetons per cell
VASP energy ... -6.235 eV/atom
V ... 17.603 A^3/atom

Cell and atoms, written as extended XYZ:
```
10
Lattice="-3.157 1.682 -0.406 -0.505 -1.812 -3.574 -5.365 -8.318 7.257" Properties=species:S:1:pos:R:3 pbc="T T T"
Pa -3.642 -2.548 1.806
Ni -6.680 -7.536 4.764
Ni -0.549 -0.901 0.534
Ni -3.130 -5.139 3.048
Pa -5.385 -5.901 1.470
Ni -5.322 -9.229 3.149
Sb -1.520 -2.987 -0.553
Sb -4.350 -7.143 4.236
Ni -2.347 -0.913 -1.487
Ni -2.740 -4.991 0.636
```



Entry 9:
A relaxed structure of PaNi2Sb, computed with PBE-GGA.

N(E_F) ... 4.8 states/eV/f.u.
Crystal system ... tetragonal
Size of the total moment ... 0.0 Bohr magnetons per cell
VASP energy ... -6.468 eV/atom
V ... 18.065 A^3/atom

Cell and atoms, written as extended XYZ:
```
4
Lattice="-1.221 -2.923 1.910 0.866 -2.619 -3.454 4.081 -0.693 1.549" Properties=species:S:1:pos:R:3 pbc="T T T"
Sb -0.611 -1.461 0.955
Pa 1.863 -3.117 0.002
Ni 0.433 -1.309 -1.727
Ni 2.041 -0.347 0.774
```



Entry 10:
A relaxed structure of Pa3Ni8Sb, computed with PBE-GGA.

N(E_F) ... 12.7 states/eV/f.u.
Crystal system ... trigonal
Size of the total moment ... 0.0 Bohr magnetons per cell
VASP energy ... -6.919 eV/atom
V ... 15.066 A^3/atom

Cell and atoms, written as extended XYZ:
```
12
Lattice="-2.335 -0.367 4.412 3.590 -3.271 -1.212 5.714 4.997 3.440" Properties=species:S:1:pos:R:3 pbc="T T T"
Ni 4.029 -1.533 0.591
Sb 3.181 2.782 1.915
Ni 4.493 0.214 2.395
Ni 6.733 0.317 3.589
Pa -0.029 -1.046 2.736
Ni 2.867 -1.716 2.787
Ni 2.242 0.095 1.194
Ni 6.106 2.135 1.990
Pa 5.317 4.650 3.201
Ni 1.647 -2.275 0.682
Ni 4.939 1.951 4.195
Pa 2.102 0.818 4.019
```



Entry 11:
A relaxed structure of PaNiSb, computed with PBE-GGA.

N(E_F) ... 4.3 states/eV/f.u.
Crystal system ... tetragonal
Size of the total moment ... 0.0 Bohr magnetons per cell
VASP energy ... -6.683 eV/atom
V ... 20.508 A^3/atom

Cell and atoms, written as extended XYZ:
```
3
Lattice="-3.172 -1.014 -0.815 1.238 -3.012 -1.070 0.356 0.050 5.758" Properties=species:S:1:pos:R:3 pbc="T T T"
Sb -0.370 -1.189 2.917
Pa -1.083 -2.388 -0.023
Ni -1.518 -3.785 3.407
```



Entry 12:
A relaxed structure of PaNi2Sb, computed with PBE-GGA.

N(E_F) ... 2.1 states/eV/f.u.
Crystal system ... cubic
Size of the total moment ... 0.0 Bohr magnetons per cell
VASP energy ... -6.720 eV/atom
V ... 17.492 A^3/atom

Cell and atoms, written as extended XYZ:
```
4
Lattice="4.625 0.000 0.000 2.313 4.006 0.000 2.313 1.335 3.777" Properties=species:S:1:pos:R:3 pbc="T T T"
Ni 2.313 1.335 0.944
Sb 0.000 0.000 0.000
Ni 6.938 4.006 2.832
Pa 4.625 2.670 1.888
```



In eV per atom, the E_form (uncorrected) values for the records above are, in order, -0.24; -0.57; -0.46; -0.28; -0.38; -0.43; -0.37; -0.04; -0.17; -0.35; -0.22; -0.43.